Here is ZrWI2O after structural relaxation from Alexandria via LeMat-Bulk. Energies are from PBE+U.

Values from the calculation:
**Energy above the most stable polymorph in this dataset**: 0.000 eV per atom
**DFT total energy**: -5.074 eV/atom
**Crystal system**: tetragonal
**Spin magnetization**: 5.797 μB per formula unit

Cell: 5.9439 5.9439 4.0200 Å, 90.00 90.00 90.00°
Last column: nearest neighbours and their distance in Å.
Space group P4/mmm (No. 123)
Asymmetric unit:
Zr 0.0000 0.0000 0.0000 [1 per cell]  2 O 2.01
W 0.5000 0.5000 0.5000 [1 per cell]  8 I 3.59
I 0.0000 0.5000 0.0000 [2 per cell]  2 Zr 2.97
O 0.0000 0.0000 0.5000 [1 per cell]  2 Zr 2.01